Entry 1:
Density functional theory data (GGA-PBE) for an optimized crystal structure of SrMgTi.

Summary:
**Total DFT energy (no corrections)**: -3.333 eV per atom
**DOS(E_F)**: 0.9369 states/eV per atom
**Formation energy from the elements**: 0.39 eV per atom
**Density**: 2.984 g/cm³
**Space-group type**: No. 62
**Magnetic moment**: 4.32 μB/cell

Cell: 8.990 3.535 11.192 Å, 90.00 90.00 90.00°
Positions (direct):
Sr (0.083, 0.250, 0.822)
Sr (0.417, 0.750, 0.322)
Sr (0.917, 0.750, 0.178)
Sr (0.583, 0.250, 0.678)
Mg (0.746, 0.250, 0.400)
Mg (0.754, 0.750, 0.900)
Mg (0.254, 0.750, 0.600)
Mg (0.246, 0.250, 0.100)
Ti (0.077, 0.250, 0.435)
Ti (0.423, 0.750, 0.935)
Ti (0.923, 0.750, 0.565)
Ti (0.577, 0.250, 0.065)



Entry 2:
Density functional theory data (GGA-PBE) for an optimized crystal structure of Sr3MgTi.

Summary:
**Total DFT energy (no corrections)**: -2.182 eV per atom
**DOS(E_F)**: 1.3862 states/eV per atom
**Formation energy from the elements**: 0.72 eV per atom
**Density**: 2.306 g/cm³
**Space-group type**: No. 221
**Magnetic moment**: 3.86 μB/cell

Cell: 6.225 6.225 6.225 Å, 90.00 90.00 90.00°
Positions (direct):
Sr (0.000, 0.500, 0.000)
Sr (0.000, 0.000, 0.500)
Sr (0.500, 0.000, 0.000)
Mg (0.500, 0.500, 0.500)
Ti (0.000, 0.000, 0.000)



Entry 3:
Density functional theory data (GGA-PBE) for an optimized crystal structure of SrMg2Ti.

Summary:
**Total DFT energy (no corrections)**: -2.845 eV per atom
**DOS(E_F)**: 1.1084 states/eV per atom
**Formation energy from the elements**: 0.35 eV per atom
**Density**: 2.846 g/cm³
**Space-group type**: No. 225
**Magnetic moment**: 1.95 μB/cell

Cell: 5.336 5.336 5.336 Å, 60.00 60.00 60.00°
Positions (direct):
Sr (0.500, 0.500, 0.500)
Mg (0.250, 0.250, 0.250)
Mg (0.750, 0.750, 0.750)
Ti (0.000, 0.000, 0.000)



Entry 4:
Density functional theory data (GGA-PBE) for an optimized crystal structure of SrMg3Ti.

Summary:
**Total DFT energy (no corrections)**: -2.360 eV per atom
**DOS(E_F)**: 1.0708 states/eV per atom
**Formation energy from the elements**: 0.51 eV per atom
**Density**: 2.135 g/cm³
**Space-group type**: No. 221
**Magnetic moment**: 3.72 μB/cell

Cell: 5.452 5.452 5.452 Å, 90.00 90.00 90.00°
Positions (direct):
Sr (0.500, 0.500, 0.500)
Mg (0.000, 0.500, 0.000)
Mg (0.000, 0.000, 0.500)
Mg (0.500, 0.000, 0.000)
Ti (0.000, 0.000, 0.000)



Entry 5:
Density functional theory data (GGA-PBE) for an optimized crystal structure of SrMgTi2Tl.

Summary:
**Total DFT energy (no corrections)**: -3.392 eV per atom
**DOS(E_F)**: 1.5165 states/eV per atom
**Formation energy from the elements**: 0.89 eV per atom
**Density**: 3.991 g/cm³
**Space-group type**: No. 123
**Magnetic moment**: 4.52 μB/cell

Cell: 5.335 6.023 5.335 Å, 90.00 90.00 90.00°
Positions (direct):
Sr (0.000, 0.500, 0.000)
Tl (0.000, 0.000, 0.000)
Mg (0.500, 0.500, 0.500)
Ti (0.000, 0.000, 0.500)
Ti (0.500, 0.000, 0.000)



Entry 6:
Density functional theory data (GGA-PBE) for an optimized crystal structure of SrMg2TiV.

Summary:
**Total DFT energy (no corrections)**: -3.928 eV per atom
**DOS(E_F)**: 0.6829 states/eV per atom
**Formation energy from the elements**: 0.45 eV per atom
**Density**: 3.027 g/cm³
**Space-group type**: No. 123
**Magnetic moment**: 1.42 μB/cell

Cell: 5.411 4.405 5.411 Å, 90.00 90.00 90.00°
Positions (direct):
Sr (0.500, 0.500, 0.500)
Mg (0.000, 0.000, 0.500)
Mg (0.500, 0.000, 0.000)
Ti (0.000, 0.500, 0.000)
V (0.000, 0.000, 0.000)



Entry 7:
Density functional theory data (GGA-PBE) for an optimized crystal structure of SrYMgTi2.

Summary:
**Total DFT energy (no corrections)**: -4.154 eV per atom
**DOS(E_F)**: 1.2746 states/eV per atom
**Formation energy from the elements**: 0.95 eV per atom
**Density**: 3.316 g/cm³
**Space-group type**: No. 123
**Magnetic moment**: 0.00 μB/cell

Cell: 5.060 5.800 5.060 Å, 90.00 90.00 90.00°
Positions (direct):
Y (0.000, 0.000, 0.000)
Sr (0.500, 0.500, 0.500)
Mg (0.000, 0.500, 0.000)
Ti (0.000, 0.000, 0.500)
Ti (0.500, 0.000, 0.000)



Entry 8:
Density functional theory data (GGA-PBE) for an optimized crystal structure of Sr2Mg15Tl2.

Summary:
**Total DFT energy (no corrections)**: -1.755 eV per atom
**DOS(E_F)**: 0.4553 states/eV per atom
**Formation energy from the elements**: -0.07 eV per atom
**Density**: 3.186 g/cm³
**Space-group type**: No. 166
**Magnetic moment**: 0.00 μB/cell

Cell: 7.965 7.965 7.965 Å, 82.81 82.81 82.81°
Positions (direct):
Sr (0.335, 0.335, 0.335)
Sr (0.665, 0.665, 0.665)
Mg (0.500, 0.000, 0.000)
Mg (0.000, 0.000, 0.500)
Mg (0.000, 0.500, 0.000)
Mg (0.000, 0.697, 0.303)
Mg (0.697, 0.303, 0.000)
Mg (0.303, 0.000, 0.697)
Mg (0.303, 0.697, 0.000)
Mg (0.697, 0.000, 0.303)
Mg (0.000, 0.303, 0.697)
Mg (0.163, 0.651, 0.651)
Mg (0.651, 0.651, 0.163)
Mg (0.651, 0.163, 0.651)
Mg (0.837, 0.349, 0.349)
Mg (0.349, 0.349, 0.837)
Mg (0.349, 0.837, 0.349)
Tl (0.103, 0.103, 0.103)
Tl (0.897, 0.897, 0.897)



Entry 9:
Density functional theory data (GGA-PBE) for an optimized crystal structure of SrMgTl.

Summary:
**Total DFT energy (no corrections)**: -1.623 eV per atom
**DOS(E_F)**: 1.6526 states/eV per atom
**Formation energy from the elements**: 0.26 eV per atom
**Density**: 4.465 g/cm³
**Space-group type**: No. 216
**Magnetic moment**: 0.00 μB/cell

Cell: 5.500 5.500 5.500 Å, 60.00 60.00 60.00°
Positions (direct):
Mg (0.500, 0.500, 0.500)
Sr (0.750, 0.750, 0.750)
Tl (0.000, 0.000, 0.000)



Entry 10:
Density functional theory data (GGA-PBE) for an optimized crystal structure of SrMg12Tl4.

Summary:
**Total DFT energy (no corrections)**: -1.566 eV per atom
**DOS(E_F)**: 0.7526 states/eV per atom
**Formation energy from the elements**: 0.21 eV per atom
**Density**: 3.910 g/cm³
**Space-group type**: No. 204
**Magnetic moment**: 0.00 μB/cell

Cell: 8.708 8.708 8.708 Å, 109.47 109.47 109.47°
Positions (direct):
Sr (0.000, 0.000, 0.000)
Mg (0.839, 0.348, 0.188)
Mg (0.348, 0.509, 0.161)
Mg (0.812, 0.161, 0.652)
Mg (0.348, 0.188, 0.839)
Mg (0.188, 0.839, 0.348)
Mg (0.652, 0.491, 0.839)
Mg (0.509, 0.161, 0.348)
Mg (0.491, 0.839, 0.652)
Mg (0.652, 0.812, 0.161)
Mg (0.839, 0.652, 0.491)
Mg (0.161, 0.348, 0.509)
Mg (0.161, 0.652, 0.812)
Tl (0.000, 0.500, 0.000)
Tl (0.500, 0.000, 0.000)
Tl (0.500, 0.500, 0.500)
Tl (0.000, 0.000, 0.500)



Entry 11:
Density functional theory data (GGA-PBE) for an optimized crystal structure of SrMg6Tl12.

Summary:
**Total DFT energy (no corrections)**: -2.101 eV per atom
**DOS(E_F)**: 0.5958 states/eV per atom
**Formation energy from the elements**: -0.01 eV per atom
**Density**: 8.214 g/cm³
**Space-group type**: No. 204
**Magnetic moment**: 0.00 μB/cell

Cell: 8.902 8.902 8.902 Å, 109.47 109.47 109.47°
Positions (direct):
Sr (0.000, 0.000, 0.000)
Mg (0.355, 0.500, 0.855)
Mg (0.645, 0.500, 0.145)
Mg (0.500, 0.855, 0.355)
Mg (0.500, 0.145, 0.645)
Mg (0.855, 0.355, 0.500)
Mg (0.145, 0.645, 0.500)
Tl (0.271, 0.082, 0.811)
Tl (0.271, 0.460, 0.189)
Tl (0.729, 0.540, 0.811)
Tl (0.729, 0.918, 0.189)
Tl (0.082, 0.811, 0.271)
Tl (0.460, 0.189, 0.271)
Tl (0.540, 0.811, 0.729)
Tl (0.918, 0.189, 0.729)
Tl (0.811, 0.271, 0.082)
Tl (0.189, 0.271, 0.460)
Tl (0.811, 0.729, 0.540)
Tl (0.189, 0.729, 0.918)



Entry 12:
Density functional theory data (GGA-PBE) for an optimized crystal structure of SrMg2Tl.

Summary:
**Total DFT energy (no corrections)**: -1.886 eV per atom
**DOS(E_F)**: 0.4678 states/eV per atom
**Formation energy from the elements**: -0.08 eV per atom
**Density**: 4.704 g/cm³
**Space-group type**: No. 123
**Magnetic moment**: 0.00 μB/cell

Cell: 3.961 3.961 7.664 Å, 90.00 90.00 90.00°
Positions (direct):
Mg (0.000, 0.000, 0.961)
Mg (0.000, 0.000, 0.539)
Sr (0.500, 0.500, 0.250)
Tl (0.500, 0.500, 0.750)